# Y2InHg8 (GGA-PBE, relaxed)
data_Y2InHg8
_cell_length_a 17.434
_cell_length_b 4.759
_cell_length_c 7.086
_cell_angle_alpha 90.00
_cell_angle_beta 109.71
_cell_angle_gamma 90.00
_space_group_name_H-M_alt 'C 1 2/m 1'
_space_group_IT_number 12
loop_
_space_group_symop_operation_xyz
'x,y,z'
'-x,-y,-z'
'-x,y,-z'
'x,-y,z'
'x+1/2,y+1/2,z'
'-x+1/2,-y+1/2,-z'
'-x+1/2,y+1/2,-z'
'x+1/2,-y+1/2,z'
loop_
_atom_site_label
_atom_site_type_symbol
_atom_site_fract_x
_atom_site_fract_y
_atom_site_fract_z
_atom_site_occupancy
Y1 Y 0.212 0.000 0.179 1
In1 In 0.000 0.500 0.500 1
Hg1 Hg 0.029 0.000 0.222 1
Hg2 Hg 0.109 0.500 0.926 1
Hg3 Hg 0.154 0.500 0.390 1
Hg4 Hg 0.160 0.000 0.697 1
# V (Å³/cell): 553
# Polymorph energy (0 for the lowest one) (eV per atom): 0.023
# M_tot (Bohr magnetons per cell): 0.0

---

# Cs2PtBrO (GGA-PBE, relaxed)
data_Cs2PtBrO
_cell_length_a 6.470
_cell_length_b 6.470
_cell_length_c 3.851
_cell_angle_alpha 90.00
_cell_angle_beta 90.00
_cell_angle_gamma 90.00
_space_group_name_H-M_alt 'P 4/m m m'
_space_group_IT_number 123
_space_group_name_Hall '-P 4 2'
loop_
_atom_site_label
_atom_site_type_symbol
_atom_site_fract_x
_atom_site_fract_y
_atom_site_fract_z
_atom_site_occupancy
Cs1 Cs 0.000 0.500 0.000 1
Pt1 Pt 0.000 0.000 0.500 1
Br1 Br 0.500 0.500 0.500 1
O1 O 0.000 0.000 0.000 1
# V (Å³/cell): 161
# Uncorrected formation energy (eV per atom): -1.1085
# M_tot (Bohr magnetons per cell): 0.5

---

# La2MnBeC (GGA-PBE, relaxed)
data_La2MnBeC
_cell_length_a 5.426
_cell_length_b 5.426
_cell_length_c 3.434
_cell_angle_alpha 90.00
_cell_angle_beta 90.00
_cell_angle_gamma 90.00
_space_group_name_H-M_alt 'P 4/m m m'
_space_group_IT_number 123
_space_group_name_Hall '-P 4 2'
loop_
_atom_site_label
_atom_site_type_symbol
_atom_site_fract_x
_atom_site_fract_y
_atom_site_fract_z
_atom_site_occupancy
La1 La 0.000 0.500 0.000 1
Mn1 Mn 0.000 0.000 0.500 1
Be1 Be 0.500 0.500 0.500 1
C1 C 0.500 0.500 0.000 1
# V (Å³/cell): 101
# Electronic total energy (eV per atom): -6.25
# M_tot (Bohr magnetons per cell): 2.8

---

# K2Cd3In4Sn (GGA-PBE, relaxed)
data_K2Cd3In4Sn
_cell_length_a 4.859
_cell_length_b 4.859
_cell_length_c 12.879
_cell_angle_alpha 90.00
_cell_angle_beta 90.00
_cell_angle_gamma 90.00
_space_group_name_H-M_alt 'P -4 m 2'
_space_group_IT_number 115
loop_
_space_group_symop_operation_xyz
'x,y,z'
'y,-x,-z'
'-x,-y,z'
'-y,x,-z'
'-x,y,z'
'-y,-x,-z'
'x,-y,z'
'y,x,-z'
loop_
_atom_site_label
_atom_site_type_symbol
_atom_site_fract_x
_atom_site_fract_y
_atom_site_fract_z
_atom_site_occupancy
K1 K 0.000 0.500 0.249 1
Cd1 Cd 0.000 0.000 0.000 1
Cd2 Cd 0.000 0.500 0.638 1
In1 In 0.000 0.000 0.500 1
In2 In 0.000 0.500 0.861 1
In3 In 0.500 0.500 0.500 1
Sn1 Sn 0.500 0.500 0.000 1
# V (Å³/cell): 304
# Electronic total energy (eV per atom): -2.10
# M_tot (Bohr magnetons per cell): 0.0

---

# RbMnAlOs2 (GGA-PBE, relaxed)
data_RbMnAlOs2
_cell_length_a 4.592
_cell_length_b 4.592
_cell_length_c 4.783
_cell_angle_alpha 90.00
_cell_angle_beta 90.00
_cell_angle_gamma 90.00
_space_group_name_H-M_alt 'P 4/m m m'
_space_group_IT_number 123
_space_group_name_Hall '-P 4 2'
loop_
_atom_site_label
_atom_site_type_symbol
_atom_site_fract_x
_atom_site_fract_y
_atom_site_fract_z
_atom_site_occupancy
Rb1 Rb 0.000 0.000 0.000 1
Mn1 Mn 0.500 0.500 0.500 1
Al1 Al 0.500 0.500 0.000 1
Os1 Os 0.000 0.500 0.500 1
# V (Å³/cell): 101
# Electronic total energy (eV per atom): -5.93
# M_tot (Bohr magnetons per cell): 0.8

---

# ZrAgCl2 (GGA-PBE, relaxed)
data_ZrAgCl2
_cell_length_a 4.789
_cell_length_b 4.789
_cell_length_c 3.382
_cell_angle_alpha 90.00
_cell_angle_beta 90.00
_cell_angle_gamma 90.00
_space_group_name_H-M_alt 'P 4/m m m'
_space_group_IT_number 123
_space_group_name_Hall '-P 4 2'
loop_
_atom_site_label
_atom_site_type_symbol
_atom_site_fract_x
_atom_site_fract_y
_atom_site_fract_z
_atom_site_occupancy
Zr1 Zr 0.000 0.000 0.000 1
Ag1 Ag 0.500 0.500 0.000 1
Cl1 Cl 0.000 0.500 0.500 1
# V (Å³/cell): 78
# Polymorph energy (0 for the lowest one) (eV per atom): 0.685
# Uncorrected formation energy (eV per atom): -0.2378
# M_tot (Bohr magnetons per cell): 1.1